Density functional theory data (PBE) for AcCuReO6 after structural relaxation. Values from VASP.

Geometry as Quantum ESPRESSO input:
```
&SYSTEM
  ibrav = 0, nat = 9, ntyp = 4
/
ATOMIC_SPECIES
O 16.00 O.upf
Re 186.21 Re.upf
Cu 63.55 Cu.upf
Ac 227.00 Ac.upf
CELL_PARAMETERS angstrom
5.560 -0.001 0.218
2.779 4.445 0.109
0.212 -0.001 5.220
ATOMIC_POSITIONS crystal
O 0.375 0.005 0.706
O 0.027 0.358 0.326
O 0.346 0.598 0.255
O 0.615 0.358 0.674
O 0.055 0.597 0.746
O 0.620 0.005 0.293
Re 0.325 0.349 0.500
Cu 0.665 0.670 0.500
Ac 0.971 0.059 0.000
```

Crystal system: triclinic
VASP energy (hartree per atom): -0.275
Symmetry: No. 1
Uncorrected formation energy (eV per atom): -1.87